[1]
# Sm3IrSeCl

A geometry-optimized Sm3IrSeCl structure (PBE-GGA, Alexandria).

Cell: 4.145 8.289 10.046 Å, 94.19 90.00 90.00°
Fractional positions:
1 Sm 0.750 0.820 0.115
2 Sm 0.250 0.653 0.393
3 Sm 0.750 0.358 0.177
4 Sm 0.750 0.347 0.607
5 Sm 0.250 0.642 0.823
6 Sm 0.250 0.180 0.885
7 Ir 0.750 0.425 0.888
8 Ir 0.250 0.575 0.112
9 Cl 0.750 0.871 0.407
10 Cl 0.250 0.129 0.593
11 Se 0.250 0.090 0.165
12 Se 0.750 0.910 0.835

Summary:
As for the electronic total energy: -71.720 eV/cell. The mass density comes out at 7.31 g cm⁻³. The formation energy from raw total energies is -1252 meV/atom.

***

[2]
# Sm4IrSeCl2

A geometry-optimized Sm4IrSeCl2 structure (PBE-GGA, Alexandria).

Cell: 4.056 7.398 7.530 Å, 71.15 90.00 90.00°
Fractional positions:
1 Ir 0.000 0.500 0.500
2 Se 0.500 0.500 0.000
3 Cl 0.500 0.000 0.500
4 Cl 0.000 0.000 0.000
5 Sm 0.500 0.712 0.284
6 Sm 0.500 0.288 0.716
7 Sm 0.000 0.722 0.740
8 Sm 0.000 0.278 0.260

Summary:
As for the electronic total energy: -45.857 eV/cell. The mass density comes out at 7.33 g cm⁻³. The formation energy from raw total energies is -1368 meV/atom.

***

[3]
# Tb4IrSe2Cl

A geometry-optimized Tb4IrSe2Cl structure (PBE-GGA, Alexandria).

Cell: 3.999 7.253 7.168 Å, 71.57 90.00 90.00°
Fractional positions:
1 Cl 0.500 0.500 0.000
2 Se 0.500 0.000 0.500
3 Se 0.000 0.000 0.000
4 Tb 0.500 0.727 0.279
5 Tb 0.500 0.273 0.721
6 Tb 0.000 0.253 0.268
7 Tb 0.000 0.747 0.732
8 Ir 0.000 0.500 0.500

Summary:
As for the electronic total energy: -47.665 eV/cell. The mass density comes out at 8.60 g cm⁻³. The formation energy from raw total energies is -1433 meV/atom.

***

[4]
# Th4IrSe2Cl

A geometry-optimized Th4IrSe2Cl structure (PBE-GGA, Alexandria).

Cell: 4.091 7.489 7.216 Å, 71.23 90.00 90.00°
Fractional positions:
1 Th 0.000 0.270 0.230
2 Th 0.000 0.730 0.770
3 Th 0.500 0.257 0.754
4 Th 0.500 0.743 0.246
5 Se 0.000 0.000 0.000
6 Se 0.500 0.000 0.500
7 Cl 0.000 0.500 0.500
8 Ir 0.500 0.500 0.000

Summary:
As for the electronic total energy: -57.752 eV/cell. The mass density comes out at 10.42 g cm⁻³. The formation energy from raw total energies is -1299 meV/atom.

***

[5]
# Th8Ir3Se4Cl

A geometry-optimized Th8Ir3Se4Cl structure (PBE-GGA, Alexandria).

Cell: 8.274 8.635 8.274 Å, 118.63 120.00 90.00°
Fractional positions:
1 Th 0.738 0.714 0.476
2 Th 0.751 0.267 0.016
3 Th 0.262 0.286 0.524
4 Th 0.264 0.267 0.016
5 Th 0.736 0.733 0.984
6 Th 0.249 0.733 0.497
7 Th 0.249 0.733 0.984
8 Th 0.751 0.267 0.503
9 Se 0.500 0.000 0.000
10 Se 0.000 0.000 0.500
11 Se 0.500 0.000 0.500
12 Se 0.000 0.000 0.000
13 Ir 0.500 0.500 0.000
14 Ir 0.000 0.500 0.500
15 Ir 0.500 0.500 0.500
16 Cl 0.000 0.500 0.000

Summary:
As for the electronic total energy: -122.606 eV/cell. The mass density comes out at 10.84 g cm⁻³. The formation energy from raw total energies is -1305 meV/atom.

***

[6]
# TlIrSeCl2

A geometry-optimized TlIrSeCl2 structure (PBE-GGA, Alexandria).

Cell: 5.101 4.769 5.101 Å, 90.00 90.00 90.00°
Fractional positions:
1 Cl 0.000 0.000 0.500
2 Cl 0.500 0.000 0.000
3 Ir 0.000 0.000 0.000
4 Se 0.000 0.500 0.000
5 Tl 0.500 0.500 0.500

Summary:
As for the electronic total energy: -19.316 eV/cell. The mass density comes out at 7.31 g cm⁻³. The formation energy from raw total energies is -182 meV/atom.

***

[7]
# Y4IrSe2Cl

A geometry-optimized Y4IrSe2Cl structure (PBE-GGA, Alexandria).

Cell: 4.000 7.230 7.165 Å, 71.59 90.00 90.00°
Fractional positions:
1 Y 0.500 0.273 0.721
2 Y 0.000 0.748 0.731
3 Y 0.500 0.727 0.279
4 Y 0.000 0.252 0.269
5 Cl 0.500 0.500 0.000
6 Ir 0.000 0.500 0.500
7 Se 0.500 0.000 0.500
8 Se 0.000 0.000 0.000

Summary:
As for the electronic total energy: -54.918 eV/cell. The mass density comes out at 6.26 g cm⁻³. The formation energy from raw total energies is -1423 meV/atom.

***

[8]
# Y2IrSeCl

A geometry-optimized Y2IrSeCl structure (PBE-GGA, Alexandria).

Cell: 5.357 4.735 5.357 Å, 90.00 90.00 90.00°
Fractional positions:
1 Ir 0.000 0.000 0.000
2 Y 0.000 0.000 0.500
3 Y 0.500 0.000 0.000
4 Cl 0.000 0.500 0.000
5 Se 0.500 0.500 0.500

Summary:
As for the electronic total energy: -29.904 eV/cell. The mass density comes out at 5.92 g cm⁻³. The formation energy from raw total energies is -557 meV/atom.

***

[9]
# SiIrCl2

A geometry-optimized SiIrCl2 structure (PBE-GGA, Alexandria).

Cell: 3.522 6.873 6.872 Å, 40.45 90.00 90.00°
Fractional positions:
1 Cl 0.000 0.377 0.377
2 Cl 0.000 0.123 0.123
3 Si 0.500 0.750 0.750
4 Ir 0.500 0.250 0.250

Summary:
As for the electronic total energy: -17.592 eV/cell. The mass density comes out at 4.48 g cm⁻³. The formation energy from raw total energies is 96 meV/atom.

***

[10]
# Si2IrCl

A geometry-optimized Si2IrCl structure (PBE-GGA, Alexandria).

Cell: 4.452 4.452 4.452 Å, 60.00 60.00 60.00°
Fractional positions:
1 Cl 0.000 0.000 0.000
2 Ir 0.500 0.500 0.500
3 Si 0.750 0.750 0.750
4 Si 0.250 0.250 0.250

Summary:
As for the electronic total energy: -19.394 eV/cell. The mass density comes out at 7.56 g cm⁻³. The formation energy from raw total energies is 540 meV/atom.

***

[11]
# Si2IrCl

A geometry-optimized Si2IrCl structure (PBE-GGA, Alexandria).

Cell: 4.803 3.617 3.617 Å, 90.00 90.00 90.00°
Fractional positions:
1 Si 0.000 0.500 0.500
2 Si 0.000 0.000 0.000
3 Cl 0.500 0.500 0.000
4 Ir 0.500 0.000 0.500

Summary:
As for the electronic total energy: -18.508 eV/cell. The mass density comes out at 7.50 g cm⁻³. The formation energy from raw total energies is 761 meV/atom.

***

[12]
# SiIrCl2

A geometry-optimized SiIrCl2 structure (PBE-GGA, Alexandria).

Cell: 4.557 4.557 4.557 Å, 121.63 121.63 87.20°
Fractional positions:
1 Si 0.750 0.250 0.500
2 Cl 0.250 0.750 0.500
3 Cl 0.000 0.000 0.000
4 Ir 0.500 0.500 0.000

Summary:
As for the electronic total energy: -15.129 eV/cell. The mass density comes out at 7.42 g cm⁻³. The formation energy from raw total energies is 712 meV/atom.

***

> Which value of mass density does entry 11 give?

7.50 g cm⁻³